## BaNiP (PBE)

Data for an optimized crystal structure of BaNiP.

The structure in CIF format:
```
data_BaNiP
_symmetry_space_group_name_H-M 'P 1 21/c 1'
_symmetry_Int_Tables_number 14
_cell_length_a 6.214
_cell_length_b 7.428
_cell_length_c 7.458
_cell_angle_alpha 90.00
_cell_angle_beta 126.60
_cell_angle_gamma 90.00
loop_
_symmetry_equiv_pos_as_xyz
'x,y,z'
'-x,-y,-z'
'-x,y+1/2,-z+1/2'
'x,-y+1/2,z+1/2'
loop_
_atom_site_label
_atom_site_type_symbol
_atom_site_fract_x
_atom_site_fract_y
_atom_site_fract_z
Ba1 Ba 0.127 0.012 0.315
Ni1 Ni 0.499 0.120 0.117
P1 P 0.467 0.673 0.659
```

## Properties
DOS at the Fermi energy   0.912 states/eV/f.u.
M_tot   0.00 Bohr magnetons per cell
Energy of formation   -0.87 eV/atom


## ZrZnSeN2 (PBE)

Data for an optimized crystal structure of ZrZnSeN2.

The structure in CIF format:
```
data_ZrZnSeN2
_symmetry_space_group_name_H-M 'P 4/m m m'
_symmetry_Int_Tables_number 123
_symmetry_space_group_name_Hall '-P 4 2'
_cell_length_a 3.897
_cell_length_b 3.897
_cell_length_c 4.924
_cell_angle_alpha 90.00
_cell_angle_beta 90.00
_cell_angle_gamma 90.00
loop_
_atom_site_label
_atom_site_type_symbol
_atom_site_fract_x
_atom_site_fract_y
_atom_site_fract_z
Zr1 Zr 0.000 0.000 0.000
Zn1 Zn 0.500 0.500 0.500
Se1 Se 0.500 0.500 0.000
N1 N 0.000 0.500 0.500
```

## Properties
Relative energy among the computed polymorphs   493 meV/atom
Uncorrected formation energy   821 meV/atom
DOS at the Fermi energy   3.695 states/eV/f.u.
M_tot   0.00 Bohr magnetons per cell


## TbAg2Bi2 (PBE)

Data for an optimized crystal structure of TbAg2Bi2.

The structure in CIF format:
```
data_TbAg2Bi2
_symmetry_space_group_name_H-M 'C m c m'
_symmetry_Int_Tables_number 63
_symmetry_space_group_name_Hall '-C 2c 2'
_cell_length_a 4.608
_cell_length_b 23.618
_cell_length_c 4.601
_cell_angle_alpha 90.00
_cell_angle_beta 90.00
_cell_angle_gamma 90.00
loop_
_atom_site_label
_atom_site_type_symbol
_atom_site_fract_x
_atom_site_fract_y
_atom_site_fract_z
Tb1 Tb 0.000 0.144 0.250
Ag1 Ag 0.000 0.037 0.750
Ag2 Ag 0.000 0.463 0.750
Bi1 Bi 0.000 0.250 0.750
Bi2 Bi 0.000 0.381 0.250
```

## Properties
DOS at the Fermi energy   2.185 states/eV/f.u.
M_tot   0.00 Bohr magnetons per cell
Energy of formation   -0.34 eV/atom


## MgCdGeAu (PBE)

Data for an optimized crystal structure of MgCdGeAu.

The structure in CIF format:
```
data_MgCdGeAu
_symmetry_space_group_name_H-M 'F -4 3 m'
_symmetry_Int_Tables_number 216
_symmetry_space_group_name_Hall 'F -4 2 3'
_cell_length_a 6.807
_cell_length_b 6.807
_cell_length_c 6.807
_cell_angle_alpha 90.00
_cell_angle_beta 90.00
_cell_angle_gamma 90.00
loop_
_atom_site_label
_atom_site_type_symbol
_atom_site_fract_x
_atom_site_fract_y
_atom_site_fract_z
Mg1 Mg 0.000 0.000 0.000
Cd1 Cd 0.000 0.000 0.500
Ge1 Ge 0.250 0.250 0.750
Au1 Au 0.250 0.250 0.250
```

## Properties
DOS at the Fermi energy   3.182 states/eV/f.u.
M_tot   0.00 Bohr magnetons per cell
Energy of formation   -0.11 eV/atom


## Nd4PdAu3 (PBE)

Data for an optimized crystal structure of Nd4PdAu3.

The structure in CIF format:
```
data_Nd4PdAu3
_symmetry_space_group_name_H-M 'P m m 2'
_symmetry_Int_Tables_number 25
_cell_length_a 3.917
_cell_length_b 4.764
_cell_length_c 11.174
_cell_angle_alpha 90.00
_cell_angle_beta 90.00
_cell_angle_gamma 90.00
loop_
_symmetry_equiv_pos_as_xyz
'x,y,z'
'-x,-y,z'
'-x,y,z'
'x,-y,z'
loop_
_atom_site_label
_atom_site_type_symbol
_atom_site_fract_x
_atom_site_fract_y
_atom_site_fract_z
Nd1 Nd 0.000 0.000 0.000
Nd2 Nd 0.000 0.500 0.268
Nd3 Nd 0.500 0.000 0.489
Nd4 Nd 0.500 0.500 0.771
Pd1 Pd 0.500 0.000 0.217
Au1 Au 0.000 0.000 0.719
Au2 Au 0.000 0.500 0.545
Au3 Au 0.500 0.500 0.049
```

## Properties
DOS at the Fermi energy   5.687 states/eV/f.u.
M_tot   0.00 Bohr magnetons per cell
Energy of formation   -0.81 eV/atom


## FeRh2Se (PBE)

Data for an optimized crystal structure of FeRh2Se.

The structure in CIF format:
```
data_FeRh2Se
_symmetry_space_group_name_H-M 'I m m 2'
_symmetry_Int_Tables_number 44
_cell_length_a 2.993
_cell_length_b 4.346
_cell_length_c 8.933
_cell_angle_alpha 90.00
_cell_angle_beta 90.00
_cell_angle_gamma 90.00
loop_
_symmetry_equiv_pos_as_xyz
'x,y,z'
'-x,-y,z'
'-x,y,z'
'x,-y,z'
'x+1/2,y+1/2,z+1/2'
'-x+1/2,-y+1/2,z+1/2'
'-x+1/2,y+1/2,z+1/2'
'x+1/2,-y+1/2,z+1/2'
loop_
_atom_site_label
_atom_site_type_symbol
_atom_site_fract_x
_atom_site_fract_y
_atom_site_fract_z
Fe1 Fe 0.000 0.000 0.000
Rh1 Rh 0.000 0.000 0.545
Rh2 Rh 0.000 0.500 0.765
Se1 Se 0.000 0.500 0.267
```

## Properties
Uncorrected formation energy   58 meV/atom
DOS at the Fermi energy   2.732 states/eV/f.u.
M_tot   7.80 Bohr magnetons per cell


## CoIrSe2 (PBE)

Data for an optimized crystal structure of CoIrSe2.

The structure in CIF format:
```
data_CoIrSe2
_symmetry_space_group_name_H-M 'F m -3 m'
_symmetry_Int_Tables_number 225
_symmetry_space_group_name_Hall '-F 4 2 3'
_cell_length_a 6.261
_cell_length_b 6.261
_cell_length_c 6.261
_cell_angle_alpha 90.00
_cell_angle_beta 90.00
_cell_angle_gamma 90.00
loop_
_atom_site_label
_atom_site_type_symbol
_atom_site_fract_x
_atom_site_fract_y
_atom_site_fract_z
Co1 Co 0.000 0.000 0.000
Ir1 Ir 0.000 0.000 0.500
Se1 Se 0.250 0.250 0.250
```

## Properties
Relative energy among the computed polymorphs   449 meV/atom
Uncorrected formation energy   354 meV/atom
DOS at the Fermi energy   4.793 states/eV/f.u.
M_tot   6.21 Bohr magnetons per cell


## ScTcB2 (PBE)

Data for an optimized crystal structure of ScTcB2.

The structure in CIF format:
```
data_ScTcB2
_symmetry_space_group_name_H-M 'I 41/a m d'
_symmetry_Int_Tables_number 141
_cell_length_a 3.993
_cell_length_b 3.993
_cell_length_c 14.446
_cell_angle_alpha 90.00
_cell_angle_beta 90.00
_cell_angle_gamma 90.00
loop_
_symmetry_equiv_pos_as_xyz
'x,y,z'
'-x,-y,-z'
'-y+1/4,x+3/4,z+1/4'
'y+1/4,-x+3/4,-z+1/4'
'-x+1/2,-y,z+1/2'
'x+1/2,y,-z+1/2'
'y+1/4,-x+1/4,z+3/4'
'-y+1/4,x+1/4,-z+3/4'
'x,-y,-z'
'-x,y,z'
'-y+1/4,-x+1/4,-z+3/4'
'y+1/4,x+1/4,z+3/4'
'-x+1/2,y,-z+1/2'
'x+1/2,-y,z+1/2'
'y+1/4,x+3/4,-z+1/4'
'-y+1/4,-x+3/4,z+1/4'
'x+1/2,y+1/2,z+1/2'
'-x+1/2,-y+1/2,-z+1/2'
'-y+3/4,x+1/4,z+3/4'
'y+3/4,-x+1/4,-z+3/4'
'-x,-y+1/2,z'
'x,y+1/2,-z'
'y+3/4,-x+3/4,z+1/4'
'-y+3/4,x+3/4,-z+1/4'
'x+1/2,-y+1/2,-z+1/2'
'-x+1/2,y+1/2,z+1/2'
'-y+3/4,-x+3/4,-z+1/4'
'y+3/4,x+3/4,z+1/4'
'-x,y+1/2,-z'
'x,-y+1/2,z'
'y+3/4,x+1/4,-z+3/4'
'-y+3/4,-x+1/4,z+3/4'
loop_
_atom_site_label
_atom_site_type_symbol
_atom_site_fract_x
_atom_site_fract_y
_atom_site_fract_z
Sc1 Sc 0.000 0.250 0.375
Tc1 Tc 0.000 0.250 0.875
B1 B 0.000 0.000 0.000
```

## Properties
Relative energy among the computed polymorphs   611 meV/atom
DOS at the Fermi energy   0.603 states/eV/f.u.
M_tot   0.00 Bohr magnetons per cell
Energy of formation   0.10 eV/atom


## P3PbF (PBE)

Data for an optimized crystal structure of P3PbF.

The structure in CIF format:
```
data_P3PbF
_symmetry_space_group_name_H-M 'P m -3 m'
_symmetry_Int_Tables_number 221
_symmetry_space_group_name_Hall '-P 4 2 3'
_cell_length_a 5.263
_cell_length_b 5.263
_cell_length_c 5.263
_cell_angle_alpha 90.00
_cell_angle_beta 90.00
_cell_angle_gamma 90.00
loop_
_atom_site_label
_atom_site_type_symbol
_atom_site_fract_x
_atom_site_fract_y
_atom_site_fract_z
P1 P 0.000 0.000 0.500
Pb1 Pb 0.000 0.000 0.000
F1 F 0.500 0.500 0.500
```

## Properties
Relative energy among the computed polymorphs   831 meV/atom
Uncorrected formation energy   1384 meV/atom
DOS at the Fermi energy   9.117 states/eV/f.u.
M_tot   1.70 Bohr magnetons per cell


## MnHgAu2 (PBE)

Data for an optimized crystal structure of MnHgAu2.

The structure in CIF format:
```
data_MnHgAu2
_symmetry_space_group_name_H-M 'P m m 2'
_symmetry_Int_Tables_number 25
_cell_length_a 3.296
_cell_length_b 4.687
_cell_length_c 4.828
_cell_angle_alpha 90.00
_cell_angle_beta 90.00
_cell_angle_gamma 90.00
loop_
_symmetry_equiv_pos_as_xyz
'x,y,z'
'-x,-y,z'
'-x,y,z'
'x,-y,z'
loop_
_atom_site_label
_atom_site_type_symbol
_atom_site_fract_x
_atom_site_fract_y
_atom_site_fract_z
Mn1 Mn 0.000 0.000 0.000
Hg1 Hg 0.000 0.500 0.388
Au1 Au 0.500 0.000 0.523
Au2 Au 0.500 0.500 0.896
```

## Properties
DOS at the Fermi energy   2.188 states/eV/f.u.
M_tot   4.25 Bohr magnetons per cell
Energy of formation   0.11 eV/atom


## BiAuS2 (PBE)

Data for an optimized crystal structure of BiAuS2.

The structure in CIF format:
```
data_BiAuS2
_symmetry_space_group_name_H-M 'P 1 21/c 1'
_symmetry_Int_Tables_number 14
_cell_length_a 8.471
_cell_length_b 4.466
_cell_length_c 12.923
_cell_angle_alpha 90.00
_cell_angle_beta 123.41
_cell_angle_gamma 90.00
loop_
_symmetry_equiv_pos_as_xyz
'x,y,z'
'-x,-y,-z'
'-x,y+1/2,-z+1/2'
'x,-y+1/2,z+1/2'
loop_
_atom_site_label
_atom_site_type_symbol
_atom_site_fract_x
_atom_site_fract_y
_atom_site_fract_z
Bi1 Bi 0.186 0.165 0.234
Au1 Au 0.073 0.099 0.422
S1 S 0.276 0.507 0.562
S2 S 0.442 0.612 0.350
```

## Properties
Uncorrected formation energy   18 meV/atom
DOS at the Fermi energy   0.021 states/eV/f.u.
M_tot   0.00 Bohr magnetons per cell


| no. | density (kg/m³) |
| --- | --- |
| 1 | 5455 |
| 2 | 5854 |
| 3 | 10515 |
| 4 | 8558 |
| 5 | 10146 |
| 6 | 9735 |
| 7 | 11069 |
| 8 | 4746 |
| 9 | 3634 |
| 10 | 14457 |
| 11 | 7651 |